The following is a DFT calculation (PBE) of a relaxed structure of In2CuBr.

Properties
ρ (g cm⁻³): 6.29
N(E_F) (states/eV/atom): 0.352
Uncorrected energy (eV per atom): -2.76
Uncorrected formation energy (meV per atom): 49

Structure (CIF):
```
data_In2CuBr
_cell_length_a 7.739
_cell_length_b 7.753
_cell_length_c 3.284
_cell_angle_alpha 90.00
_cell_angle_beta 90.00
_cell_angle_gamma 90.00
_symmetry_space_group_name_H-M 'C m m m'
_symmetry_Int_Tables_number 65
_symmetry_space_group_name_Hall '-C 2 2'
loop_
_atom_site_label
_atom_site_fract_x
_atom_site_fract_y
_atom_site_fract_z
In1 0.250 0.250 0.000
Cu1 0.000 0.000 0.500
Br1 0.000 0.500 0.500
```